Compound: BeIn
Source: Alexandria via LeMat-Bulk
Functional: PBE-GGA
Structure: relaxed

Results
The magnetic moment is 0.0 μB per formula unit. As for the volume: 85.99 Å³/cell. Its energy above the lowest structure with this stoichiometry is 408 meV per atom. The formation energy comes out at 0.693 eV per atom. For the total DFT energy (no corrections), the calculation gives -10.16 eV per cell.

```
data_BeIn
_chemical_formula_sum 'Be2 In2'
_symmetry_space_group_name_H-M 'P 63/m m c'
_symmetry_Int_Tables_number 194
_symmetry_space_group_name_Hall '-P 6c 2c'
_cell_length_a 4.4735
_cell_length_b 4.4735
_cell_length_c 4.9615
_cell_angle_alpha 90.00
_cell_angle_beta 90.00
_cell_angle_gamma 120.00
loop_
_atom_site_label
_atom_site_fract_x
_atom_site_fract_y
_atom_site_fract_z
Be1 0.3333 0.6667 0.2500
In1 0.3333 0.6667 0.7500
```

***

Compound: LiMg2Ta
Source: Alexandria via LeMat-Bulk
Functional: PBE-GGA
Structure: relaxed

Results
The magnetic moment is 0.0 μB per formula unit. As for the volume: 74.78 Å³/cell. Its energy above the lowest structure with this stoichiometry is 340 meV per atom. The formation energy comes out at 0.484 eV per atom. For the total DFT energy (no corrections), the calculation gives -15.02 eV per cell.

```
data_LiMg2Ta
_chemical_formula_sum 'Li1 Mg2 Ta1'
_symmetry_space_group_name_H-M 'P m m m'
_symmetry_Int_Tables_number 47
_cell_length_a 3.3600
_cell_length_b 4.6923
_cell_length_c 4.7433
_cell_angle_alpha 90.00
_cell_angle_beta 90.00
_cell_angle_gamma 90.00
loop_
_symmetry_equiv_pos_as_xyz
'x,y,z'
'-x,-y,-z'
'-x,-y,z'
'x,y,-z'
'x,-y,-z'
'-x,y,z'
'-x,y,-z'
'x,-y,z'
loop_
_atom_site_label
_atom_site_fract_x
_atom_site_fract_y
_atom_site_fract_z
Li1 0.0000 0.0000 0.0000
Mg1 0.0000 0.5000 0.5000
Mg2 0.5000 0.5000 0.0000
Ta1 0.5000 0.0000 0.5000
```